# 1
20
Lattice="5.172 0.000 0.000 0.000 5.172 0.000 0.000 0.000 25.803" Properties=species:S:1:pos:R:3 comment="CePm15Nd4 | Alexandria via LeMat-Bulk | PBE | optimized geometry" vol_a3_per_atom=34.5 magmom_total_mub_per_fu=1.16 formation_enthalpy_0k_ev_per_atom=0.028 pbc="T T T"
Ce 0.000 0.000 0.000
Pm 0.000 2.586 2.524
Pm 0.000 2.586 7.716
Pm 0.000 2.586 12.902
Pm 0.000 2.586 18.087
Pm 0.000 2.586 23.279
Pm 2.586 0.000 2.524
Pm 2.586 0.000 7.716
Pm 2.586 0.000 12.902
Pm 2.586 0.000 18.087
Pm 2.586 0.000 23.279
Pm 2.586 2.586 0.000
Pm 2.586 2.586 5.150
Pm 2.586 2.586 10.314
Pm 2.586 2.586 15.490
Pm 2.586 2.586 20.654
Nd 0.000 0.000 5.128
Nd 0.000 0.000 10.312
Nd 0.000 0.000 15.491
Nd 0.000 0.000 20.675

=====

# 2
5
Lattice="5.774 0.000 0.000 0.000 5.774 0.000 0.000 0.000 5.774" Properties=species:S:1:pos:R:3 comment="CaAg3H | Alexandria via LeMat-Bulk | PBE | optimized geometry" final_energy_ev_per_atom=-1.566 vol_a3_per_atom=38.5 magmom_total_mub_per_fu=0.93 pbc="T T T"
Ca 0.000 0.000 0.000
Ag 0.000 0.000 2.887
Ag 0.000 2.887 0.000
Ag 2.887 0.000 0.000
H 2.887 2.887 2.887

=====

# 3
10
Lattice="4.997 0.000 0.000 0.000 4.997 0.000 0.000 0.000 10.716" Properties=species:S:1:pos:R:3 comment="Ba2HgBi3Pt4 | Alexandria via LeMat-Bulk | PBE | optimized geometry" vol_a3_per_atom=26.8 magmom_total_mub_per_fu=0.00 formation_enthalpy_0k_ev_per_atom=-0.571 pbc="T T T"
Ba 0.000 2.498 2.651
Ba 2.498 0.000 8.065
Hg 0.000 0.000 5.358
Bi 0.000 2.498 9.431
Bi 2.498 0.000 1.286
Bi 2.498 2.498 5.358
Pt 0.000 0.000 0.000
Pt 0.000 2.498 6.660
Pt 2.498 0.000 4.056
Pt 2.498 2.498 0.000

=====

# 4
4
Lattice="3.075 0.000 0.000 0.000 3.075 0.000 0.000 0.000 7.707" Properties=species:S:1:pos:R:3 comment="KFeCu2 | Alexandria via LeMat-Bulk | PBE | optimized geometry" vol_a3_per_atom=18.2 magmom_total_mub_per_fu=2.84 formation_enthalpy_0k_ev_per_atom=0.516 pbc="T T T"
K 0.000 0.000 0.000
Fe 0.000 0.000 3.853
Cu 1.537 1.537 2.576
Cu 1.537 1.537 5.130

=====

# 5
8
Lattice="-2.257 2.257 7.791 2.257 -2.257 7.791 2.257 2.257 -7.791" Properties=species:S:1:pos:R:3 comment="ScRe2F | Alexandria via LeMat-Bulk | PBE | optimized geometry" final_energy_ev_per_atom=-7.422 vol_a3_per_atom=19.8 magmom_total_mub_per_fu=0.01 pbc="T T T"
Sc 0.000 0.000 0.000
Sc 0.000 2.257 3.896
Re 1.128 1.903 -1.948
Re 2.610 1.128 1.948
Re 1.128 0.353 5.844
Re -0.353 1.128 9.739
F 2.257 0.000 3.896
F 0.000 0.000 7.791

=====

# 6
14
Lattice="7.301 0.000 0.000 0.000 5.868 0.000 -2.982 0.000 8.154" Properties=species:S:1:pos:R:3 comment="AcNpPdSe4 | Alexandria via LeMat-Bulk | PBE | optimized geometry" final_energy_ev_per_atom=-6.341 vol_a3_per_atom=24.9 magmom_total_mub_per_fu=3.21 pbc="T T T"
Ac 0.506 1.467 3.541
Ac 3.813 4.401 4.613
Np -1.150 1.467 7.666
Np 5.469 4.401 0.487
Pd 1.275 4.401 1.812
Pd 3.043 1.467 6.342
Se -0.778 4.401 3.174
Se -2.156 4.401 7.420
Se 1.081 3.014 6.297
Se 1.081 5.787 6.297
Se 3.237 0.081 1.857
Se 3.237 2.853 1.857
Se 6.474 1.467 0.734
Se 5.097 1.467 4.980

=====

# 7
32
Lattice="8.100 0.000 0.000 0.000 14.830 0.000 0.000 0.000 5.533" Properties=species:S:1:pos:R:3 comment="Er3Ga3Pd2 | Alexandria via LeMat-Bulk | PBE | optimized geometry" vol_a3_per_atom=20.8 magmom_total_mub_per_fu=0.00 formation_enthalpy_0k_ev_per_atom=-0.768 pbc="T T T"
Er 0.330 1.646 0.684
Er 0.330 5.769 0.684
Er 1.505 3.708 3.478
Er 2.545 11.123 0.712
Er 3.720 9.061 3.450
Er 3.720 13.184 3.450
Er 4.380 1.646 2.083
Er 4.380 5.769 2.083
Er 5.555 3.708 4.821
Er 6.595 11.123 2.054
Er 7.770 9.061 4.849
Er 7.770 13.184 4.849
Ga 1.387 11.123 3.491
Ga 1.565 0.533 3.370
Ga 1.565 6.882 3.370
Ga 2.485 7.948 0.604
Ga 2.485 14.297 0.604
Ga 2.663 3.708 0.725
Ga 5.437 11.123 4.808
Ga 5.615 0.533 4.929
Ga 5.615 6.882 4.929
Ga 6.534 7.948 2.163
Ga 6.534 14.297 2.163
Ga 6.713 3.708 2.042
Pd 0.733 9.023 2.067
Pd 0.733 13.223 2.067
Pd 3.317 1.607 4.833
Pd 3.317 5.808 4.833
Pd 4.783 9.023 0.700
Pd 4.783 13.223 0.700
Pd 7.367 1.607 3.466
Pd 7.367 5.808 3.466

=====

# 8
12
Lattice="6.025 0.000 0.000 -3.013 5.218 0.000 0.000 0.000 7.737" Properties=species:S:1:pos:R:3 comment="BaNdRe2O8 | Alexandria via LeMat-Bulk | PBE | optimized geometry" final_energy_ev_per_atom=-7.990 vol_a3_per_atom=20.3 magmom_total_mub_per_fu=3.01 pbc="T T T"
Ba 0.000 0.000 0.000
Nd 0.000 0.000 3.868
Re 0.000 3.479 6.059
Re 3.013 1.739 1.678
O 0.000 1.739 5.463
O -1.507 4.349 5.463
O 1.506 0.869 2.274
O 0.000 3.479 0.117
O 3.013 1.739 7.620
O 1.507 4.349 5.463
O 4.519 0.869 2.274
O 3.013 3.479 2.274

=====

# 9
12
Lattice="6.743 0.000 0.000 0.000 9.131 0.000 -0.032 0.000 6.948" Properties=species:S:1:pos:R:3 comment="KThIn2Cl8 | Alexandria via LeMat-Bulk | PBE | optimized geometry" final_energy_ev_per_atom=-3.956 vol_a3_per_atom=35.6 magmom_total_mub_per_fu=0.04 pbc="T T T"
K 0.000 0.000 0.000
Th 0.000 4.566 0.000
In 3.355 2.155 3.474
In 3.355 6.976 3.474
Cl 1.458 2.593 5.844
Cl 1.458 6.538 5.844
Cl 1.638 4.566 2.136
Cl 2.013 0.000 2.424
Cl 4.698 0.000 4.524
Cl 5.072 4.566 4.811
Cl 5.252 2.593 1.104
Cl 5.252 6.538 1.104

=====

# 10
4
Lattice="2.511 -4.446 0.000 2.511 4.446 0.000 -0.011 0.000 4.484" Properties=species:S:1:pos:R:3 comment="K2PRh | Alexandria via LeMat-Bulk | PBE | optimized geometry" vol_a3_per_atom=25.0 magmom_total_mub_per_fu=0.00 formation_enthalpy_0k_ev_per_atom=0.362 pbc="T T T"
K 1.256 2.223 0.000
K 1.256 -2.223 0.000
P -0.006 0.000 2.242
Rh 2.506 0.000 2.242

=====

# 11
11
Lattice="3.624 -4.646 0.000 3.624 4.646 0.000 0.000 0.000 3.768" Properties=species:S:1:pos:R:3 comment="Li2TcNi8 | Alexandria via LeMat-Bulk | PBE | optimized geometry" vol_a3_per_atom=11.5 magmom_total_mub_per_fu=1.63 formation_enthalpy_0k_ev_per_atom=0.195 pbc="T T T"
Li 3.624 3.576 0.000
Li 3.624 -3.576 0.000
Tc 3.624 0.000 1.884
Ni 1.220 0.000 1.884
Ni 2.386 1.246 0.000
Ni 3.624 2.424 1.884
Ni 2.386 -1.246 0.000
Ni 4.863 1.246 0.000
Ni 3.624 -2.424 1.884
Ni 4.863 -1.246 0.000
Ni 6.029 0.000 1.884

=====

# 12
4
Lattice="0.000 3.598 3.598 3.598 0.000 3.598 3.598 3.598 0.000" Properties=species:S:1:pos:R:3 comment="LuThCdOs | Alexandria via LeMat-Bulk | PBE | optimized geometry" vol_a3_per_atom=23.3 magmom_total_mub_per_fu=0.00 formation_enthalpy_0k_ev_per_atom=-0.168 pbc="T T T"
Lu 0.000 0.000 0.000
Th 3.598 3.598 3.598
Cd 1.799 1.799 1.799
Os 5.397 5.397 5.397

=====

| no. | N(E_F) (states/eV per cell) |
| --- | --- |
| 1 | 33.0 |
| 2 | 3.3 |
| 3 | 4.7 |
| 4 | 4.2 |
| 5 | 7.9 |
| 6 | 20.9 |
| 7 | 24.0 |
| 8 | 8.0 |
| 9 | 6.1 |
| 10 | 2.8 |
| 11 | 15.9 |
| 12 | 2.4 |